(1)
## NdAlO3 (SCAN)

Data for a PBEsol-optimized structure of NdAlO3.

```
10
Lattice="5.272 -0.003 -0.002 2.586 4.594 -0.002 2.586 1.511 4.339" Properties=species:S:1:pos:R:3 pbc="T T T"
O 5.247 1.363 1.309
Al 5.222 3.051 2.167
Al 0.000 0.000 0.000
Nd 7.833 4.577 3.251
O 4.044 3.744 0.856
O 6.400 2.359 3.478
Nd 2.611 1.526 1.084
O 6.680 3.582 1.082
O 3.764 2.521 3.253
O 5.197 4.739 3.026
```

- ΔE_f (raw): -3645 meV per atom
- DOS at the Fermi energy: 0.0 states/eV/f.u.
- DFT total energy: -17.6503 eV per atom

(2)
## TcPRh2 (SCAN)

Data for a PBEsol-optimized structure of TcPRh2.

```
4
Lattice="2.844 0.000 0.000 0.000 4.296 0.000 0.000 0.000 4.320" Properties=species:S:1:pos:R:3 pbc="T T T"
Rh 0.000 0.000 0.000
P 0.000 2.148 2.160
Rh 1.422 2.148 0.000
Tc 1.422 0.000 2.160
```

- Energy of formation from the pure elements: 0.00 eV/atom
- DOS at the Fermi energy: 4.0 states/eV/f.u.
- DFT total energy: -28.2521 eV per atom

(3)
## Tl2SbIr (SCAN)

Data for a PBEsol-optimized structure of Tl2SbIr.

```
4
Lattice="3.206 0.000 0.000 1.603 2.777 0.000 1.603 0.926 10.044" Properties=species:S:1:pos:R:3 pbc="T T T"
Tl 1.603 0.926 2.875
Tl 4.809 2.777 7.170
Sb 0.000 0.000 0.000
Ir 3.206 1.851 5.022
```

- ΔE_f (raw): 559 meV per atom
- DOS at the Fermi energy: 2.3 states/eV/f.u.
- Distance to the lowest polymorph of the same formula: 412.0 meV/atom
- DFT total energy: -62.7105 eV per atom

(4)
## Rh2W (SCAN)

Data for a PBEsol-optimized structure of Rh2W.

```
3
Lattice="-0.090 2.710 -0.423 -2.175 -0.329 -1.642 -2.322 -0.609 5.493" Properties=species:S:1:pos:R:3 pbc="T T T"
W 0.000 0.000 0.000
Rh -2.257 1.380 0.419
Rh -2.330 0.392 3.009
```

- Energy of formation from the pure elements: -0.18 eV/atom
- DOS at the Fermi energy: 1.5 states/eV/f.u.
- DFT total energy: -45.9205 eV per atom